First-principles (GGA-PBE) data for MgZrScAg after structural relaxation, as listed in the Alexandria database.

Its symmetry is F-43m, No. 216. The value obtained for the energy above the lowest structure with this stoichiometry is 140.0 meV/atom. As for the volume: 21.28 Å³ per atom. Its magnetization is 0.2696 μB per atom.

Cell lengths 4.938, 4.938, 4.938 Å; angles 60.00, 60.00, 60.00 degrees
Atoms (fractional coordinates):
Mg (0.000, 0.000, 0.000)
Zr (0.250, 0.250, 0.250)
Sc (0.750, 0.750, 0.750)
Ag (0.500, 0.500, 0.500)



First-principles (GGA-PBE) data for MgAg2Se after structural relaxation, as listed in the Alexandria database.

Its symmetry is Cm, No. 8. The value obtained for the energy above the lowest structure with this stoichiometry is 131.8 meV/atom. As for the volume: 21.98 Å³ per atom. As for the uncorrected formation energy: -0.192 eV/atom. Its magnetization is 0.0000 μB per atom.

Cell lengths 3.969, 3.969, 6.849 Å; angles 106.47, 106.47, 59.58 degrees
Atoms (fractional coordinates):
Mg (0.000, 0.000, 0.000)
Ag (0.237, 0.237, 0.714)
Ag (0.487, 0.487, 0.465)
Se (0.732, 0.732, 0.198)



First-principles (GGA-PBE) data for MgAg2Se after structural relaxation, as listed in the Alexandria database.

Its symmetry is R-3m, No. 166. The value obtained for the energy above the lowest structure with this stoichiometry is 347.8 meV/atom. As for the volume: 19.49 Å³ per atom. As for the uncorrected formation energy: 0.024 eV/atom. Its magnetization is 0.0000 μB per atom.

Cell lengths 9.285, 9.285, 9.285 Å; angles 19.50, 19.50, 19.50 degrees
Atoms (fractional coordinates):
Mg (0.000, 0.000, 0.000)
Ag (0.251, 0.251, 0.251)
Ag (0.749, 0.749, 0.749)
Se (0.500, 0.500, 0.500)



First-principles (GGA-PBE) data for MgAg2Se after structural relaxation, as listed in the Alexandria database.

Its symmetry is F-43m, No. 216. The value obtained for the energy above the lowest structure with this stoichiometry is 186.5 meV/atom. As for the volume: 19.67 Å³ per atom. As for the uncorrected formation energy: -0.137 eV/atom. Its magnetization is 0.0000 μB per atom.

Cell lengths 4.810, 4.810, 4.810 Å; angles 60.00, 60.00, 60.00 degrees
Atoms (fractional coordinates):
Mg (0.000, 0.000, 0.000)
Ag (0.500, 0.500, 0.500)
Ag (0.750, 0.750, 0.750)
Se (0.250, 0.250, 0.250)



First-principles (GGA-PBE) data for MgAg2Se2 after structural relaxation, as listed in the Alexandria database.

Its symmetry is P4/mbm, No. 127. The value obtained for the energy above the lowest structure with this stoichiometry is 0.0 meV/atom. As for the volume: 21.71 Å³ per atom. As for the uncorrected formation energy: -0.277 eV/atom. Its magnetization is 0.0000 μB per atom.

Cell lengths 7.320, 7.320, 4.052 Å; angles 90.00, 90.00, 90.00 degrees
Atoms (fractional coordinates):
Mg (0.000, 0.000, 0.000)
Mg (0.500, 0.500, 0.000)
Ag (0.137, 0.363, 0.500)
Ag (0.363, 0.863, 0.500)
Ag (0.637, 0.137, 0.500)
Ag (0.863, 0.637, 0.500)
Se (0.180, 0.680, 0.000)
Se (0.320, 0.180, 0.000)
Se (0.680, 0.820, 0.000)
Se (0.820, 0.320, 0.000)



First-principles (GGA-PBE) data for MgAg2Se after structural relaxation, as listed in the Alexandria database.

Its symmetry is P4mm, No. 99. The value obtained for the energy above the lowest structure with this stoichiometry is 38.9 meV/atom. As for the volume: 20.08 Å³ per atom. As for the uncorrected formation energy: -0.284 eV/atom. Its magnetization is 0.0000 μB per atom.

Cell lengths 3.587, 3.587, 6.245 Å; angles 90.00, 90.00, 90.00 degrees
Atoms (fractional coordinates):
Mg (0.000, 0.000, 0.000)
Ag (0.000, 0.000, 0.518)
Ag (0.500, 0.500, 0.724)
Se (0.500, 0.500, 0.169)